1.
Here is a relaxed NiTe2Se crystal from Alexandria via LeMat-Bulk. Energies are from GGA-PBE.

It has space group Cmm2 (No. 35), with a = 3.792 Å, b = 4.999 Å, c = 10.177 Å, α = 90.00°, β = 90.00° and γ = 90.00°. The asymmetric unit holds Ni at (0.000, 0.000, 0.000), Te at (0.000, 0.000, 0.515), Te at (0.000, 0.500, 0.178) and Se at (0.000, 0.500, 0.856).

The formation energy (no corrections) comes out at 150 meV per atom. For the calculated total energy, the calculation gives -3.74 eV/atom.

=====

2.
Here is a relaxed Ni4Te3Se2 crystal from Alexandria via LeMat-Bulk. Energies are from GGA-PBE.

It has space group C2/c (No. 15), with a = 11.413 Å, b = 13.843 Å, c = 5.109 Å, α = 90.00°, β = 102.55° and γ = 90.00°. The asymmetric unit holds Ni at (0.141, 0.059, 0.069), Ni at (0.153, 0.499, 0.577), Te at (0.000, 0.398, 0.250), Te at (0.084, 0.114, 0.540) and Se at (0.177, 0.361, 0.843).

The formation energy (no corrections) comes out at -191 meV per atom. For the calculated total energy, the calculation gives -4.58 eV/atom.

=====

3.
Here is a relaxed NiTe2Se crystal from Alexandria via LeMat-Bulk. Energies are from GGA-PBE.

It has space group Cm (No. 8), with a = 12.060 Å, b = 3.551 Å, c = 5.189 Å, α = 90.00°, β = 114.92° and γ = 90.00°. The asymmetric unit holds Ni at (0.000, 0.000, 0.000), Te at (0.332, 0.000, 0.924), Te at (0.490, 0.000, 0.609) and Se at (0.136, 0.500, 0.246).

The formation energy (no corrections) comes out at -5 meV per atom. For the calculated total energy, the calculation gives -3.89 eV/atom.

=====

4.
Here is a relaxed Ni2TeSe crystal from Alexandria via LeMat-Bulk. Energies are from GGA-PBE.

It has space group C2/m (No. 12), with a = 6.308 Å, b = 3.690 Å, c = 6.216 Å, α = 90.00°, β = 110.18° and γ = 90.00°. The asymmetric unit holds Ni at (0.239, 0.000, 0.219), Te at (0.000, 0.000, 0.500) and Se at (0.000, 0.500, 0.000).

The formation energy (no corrections) comes out at -96 meV per atom. The calculation puts the energy relative to the lowest polymorph listed for this composition at 89 meV/atom. For the calculated total energy, the calculation gives -4.64 eV/atom.

=====

5.
Here is a relaxed NiTeSe2 crystal from Alexandria via LeMat-Bulk. Energies are from GGA-PBE.

It has space group C2/m (No. 12), with a = 11.977 Å, b = 3.459 Å, c = 4.943 Å, α = 90.00°, β = 112.84° and γ = 90.00°. The asymmetric unit holds Ni at (0.000, 0.000, 0.000), Te at (0.000, 0.500, 0.500) and Se at (0.147, 0.500, 0.153).

The formation energy (no corrections) comes out at -15 meV per atom. For the calculated total energy, the calculation gives -3.99 eV/atom.

=====

6.
Here is a relaxed Ni3Te2Se crystal from Alexandria via LeMat-Bulk. Energies are from GGA-PBE.

It has space group Cmcm (No. 63), with a = 11.403 Å, b = 11.595 Å, c = 4.383 Å, α = 90.00°, β = 90.00° and γ = 90.00°. The asymmetric unit holds Ni at (0.000, 0.000, 0.000), Ni at (0.181, 0.264, 0.250), Te at (0.146, 0.366, 0.750) and Se at (0.000, 0.171, 0.250).

The formation energy (no corrections) comes out at 77 meV per atom. For the calculated total energy, the calculation gives -4.44 eV/atom.

=====

7.
Here is a relaxed NiTe2Se crystal from Alexandria via LeMat-Bulk. Energies are from GGA-PBE.

It has space group Immm (No. 71), with a = 3.583 Å, b = 4.555 Å, c = 11.746 Å, α = 90.00°, β = 90.00° and γ = 90.00°. The asymmetric unit holds Ni at (0.000, 0.000, 0.000), Te at (0.000, 0.500, 0.341) and Se at (0.000, 0.000, 0.500).

The formation energy (no corrections) comes out at 93 meV per atom. For the calculated total energy, the calculation gives -3.79 eV/atom.

=====

8.
Here is a relaxed Ni2TeSe crystal from Alexandria via LeMat-Bulk. Energies are from GGA-PBE.

It has space group P4/mmm (No. 123), with a = 3.194 Å, b = 3.194 Å, c = 6.400 Å, α = 90.00°, β = 90.00° and γ = 90.00°. The asymmetric unit holds Ni at (0.000, 0.000, 0.222), Te at (0.500, 0.500, 0.500) and Se at (0.500, 0.500, 0.000).

The formation energy (no corrections) comes out at 208 meV per atom. The calculation puts the energy relative to the lowest polymorph listed for this composition at 393 meV/atom. For the calculated total energy, the calculation gives -4.34 eV/atom.

=====

9.
Here is a relaxed NiTeSe2 crystal from Alexandria via LeMat-Bulk. Energies are from GGA-PBE.

It has space group P2_1/c (No. 14), with a = 6.313 Å, b = 5.363 Å, c = 12.010 Å, α = 90.00°, β = 108.57° and γ = 90.00°. The asymmetric unit holds Ni at (0.112, 0.172, 0.397), Te at (0.191, 0.534, 0.726), Se at (0.175, 0.112, 0.599) and Se at (0.397, 0.046, 0.901).

The formation energy (no corrections) comes out at -118 meV per atom. For the calculated total energy, the calculation gives -4.09 eV/atom.

=====

10.
Here is a relaxed NiTeSe4 crystal from Alexandria via LeMat-Bulk. Energies are from GGA-PBE.

It has space group C2/m (No. 12), with a = 11.478 Å, b = 3.763 Å, c = 6.649 Å, α = 90.00°, β = 99.20° and γ = 90.00°. The asymmetric unit holds Ni at (0.000, 0.000, 0.000), Te at (0.000, 0.500, 0.500), Se at (0.119, 0.500, 0.908) and Se at (0.135, 0.000, 0.322).

The formation energy (no corrections) comes out at -50 meV per atom. The calculation puts the energy relative to the lowest polymorph listed for this composition at 0 meV/atom. For the calculated total energy, the calculation gives -3.86 eV/atom.

=====

11.
Here is a relaxed NiTeSe2 crystal from Alexandria via LeMat-Bulk. Energies are from GGA-PBE.

It has space group Pnma (No. 62), with a = 8.332 Å, b = 3.475 Å, c = 13.294 Å, α = 90.00°, β = 90.00° and γ = 90.00°. The asymmetric unit holds Ni at (0.022, 0.250, 0.114), Te at (0.000, 0.250, 0.614), Se at (0.113, 0.250, 0.800) and Se at (0.165, 0.750, 0.037).

The formation energy (no corrections) comes out at -89 meV per atom. For the calculated total energy, the calculation gives -4.06 eV/atom.

=====

12.
Here is a relaxed NiTeSe2 crystal from Alexandria via LeMat-Bulk. Energies are from GGA-PBE.

It has space group P3m1 (No. 156), with a = 3.6038 Å, b = 3.6038 Å, c = 7.8005 Å, α = 90.00°, β = 90.00° and γ = 120.00°. The asymmetric unit holds Ni at (0.0000, 0.0000, 0.0000), Te at (0.3333, 0.6667, 0.4995), Se at (0.3333, 0.6667, 0.8445) and Se at (0.6667, 0.3333, 0.1645).

The formation energy (no corrections) comes out at -106 meV per atom. For the calculated total energy, the calculation gives -4.08 eV/atom.